# 1
First-principles (PBE) data for KCoNi2 after structural relaxation, as listed in Alexandria.

Computed properties:
DFT formation energy ... 4.72 eV/f.u.
Symmetry ... I-4m2 (119)
V ... 63 Å³/cell
Fermi-level density of states ... 6.50 states/eV per cell
Magnetization ... 2.91 Bohr magnetons per cell
E_tot ... -15.0 eV/cell

```
KCoNi2
1.0
-1.463 0.407 -4.586
3.789 -0.811 -2.884
-1.788 -2.554 3.690
Ni Co K
2 1 1
Cartesian
1.582 -1.784 -1.465 Ni
0.000 0.000 0.000 Ni
1.163 -0.202 -3.735 Co
-1.044 -1.175 -2.316 K
```

***

# 2
First-principles (PBE) data for TlSe2O after structural relaxation, as listed in Alexandria.

Computed properties:
ΔE_f (raw) ... 0.69 eV per formula unit
Symmetry ... R-3m (166)
V ... 93 Å³/cell
Fermi-level density of states ... 1.49 states/eV per cell
Magnetization ... 0.00 Bohr magnetons per cell
E_tot ... -13.6 eV/cell

```
TlSe2O
1.0
-0.430 -1.193 6.088
3.171 -2.988 4.438
3.052 1.280 5.266
O Se Tl
1 2 1
Cartesian
2.896 -1.451 7.896 O
4.713 -2.361 12.849 Se
1.079 -0.541 2.943 Se
0.000 0.000 0.000 Tl
```

***

# 3
First-principles (PBE) data for HfIrS2N after structural relaxation, as listed in Alexandria.

Computed properties:
ΔE_f (raw) ... 3.43 eV per formula unit
Symmetry ... P4/mmm (123)
V ... 97 Å³/cell
Fermi-level density of states ... 5.02 states/eV per cell
Magnetization ... 2.38 Bohr magnetons per cell
E_tot ... -32.0 eV/cell

```
HfIrS2N
1.0
4.931 0.000 0.000
0.000 4.931 0.000
0.000 0.000 3.996
Ir Hf S N
1 1 2 1
Cartesian
2.466 2.466 1.998 Ir
0.000 0.000 0.000 Hf
0.000 2.466 0.000 S
2.466 0.000 0.000 S
0.000 0.000 1.998 N
```

***

# 4
First-principles (PBE) data for Pm2Ho5Tm2 after structural relaxation, as listed in Alexandria.

Computed properties:
DFT formation energy ... 0.99 eV/f.u.
Symmetry ... C2/m (12)
V ... 287 Å³/cell
Fermi-level density of states ... 17.75 states/eV per cell
Magnetization ... 0.00 Bohr magnetons per cell
E_tot ... -40.3 eV/cell

```
Pm2Ho5Tm2
1.0
5.476 0.000 1.665
1.315 6.594 5.512
0.184 1.600 9.233
Ho Tm Pm
5 2 2
Cartesian
5.162 7.599 12.534 Ho
1.813 0.595 3.876 Ho
4.801 2.388 3.885 Ho
2.174 5.806 12.526 Ho
0.000 0.000 0.000 Ho
5.911 5.346 10.072 Tm
1.064 2.848 6.339 Tm
2.978 3.497 9.880 Pm
3.997 4.697 6.530 Pm
```